Record 1
Cs2TlB2O6: relaxed, PBE.

abc: 5.579 5.579 7.857
angles: 110.67 110.67 59.86
Fractional positions:
Cs (0.211, 0.211, 0.136)
Cs (0.789, 0.789, 0.864)
Tl (0.000, 0.000, 0.500)
B (0.395, 0.395, 0.680)
B (0.605, 0.605, 0.320)
O (0.255, 0.255, 0.689)
O (0.256, 0.686, 0.693)
O (0.314, 0.744, 0.307)
O (0.686, 0.256, 0.693)
O (0.744, 0.314, 0.307)
O (0.745, 0.745, 0.311)

Properties
magnetic moment	0.092	μB per atom
crystal system	monoclinic
space-group type	C2/m
uncorrected formation energy	-1.668	eV/atom

Record 2
Ca2LaRh: relaxed, PBE.

abc: 5.313 5.313 5.313
angles: 60.00 60.00 60.00
Fractional positions:
Ca (0.250, 0.250, 0.250)
Ca (0.750, 0.750, 0.750)
La (0.000, 0.000, 0.000)
Rh (0.500, 0.500, 0.500)

Properties
magnetic moment	0.000	μB per atom
crystal system	cubic
space-group type	Fm-3m
distance to the lowest polymorph of the same formula	510	meV per atom

Record 3
Na3As3Pd2: relaxed, PBE.

abc: 8.032 14.967 5.777
angles: 90.00 90.00 90.00
Fractional positions:
Na (0.025, 0.115, 0.107)
Na (0.025, 0.385, 0.107)
Na (0.132, 0.750, 0.429)
Na (0.368, 0.250, 0.929)
Na (0.475, 0.615, 0.607)
Na (0.475, 0.885, 0.607)
Na (0.525, 0.115, 0.393)
Na (0.525, 0.385, 0.393)
Na (0.632, 0.750, 0.071)
Na (0.868, 0.250, 0.571)
Na (0.975, 0.615, 0.893)
Na (0.975, 0.885, 0.893)
As (0.129, 0.554, 0.419)
As (0.129, 0.946, 0.419)
As (0.229, 0.250, 0.441)
As (0.271, 0.750, 0.941)
As (0.371, 0.054, 0.919)
As (0.371, 0.446, 0.919)
As (0.629, 0.554, 0.081)
As (0.629, 0.946, 0.081)
As (0.729, 0.250, 0.059)
As (0.771, 0.750, 0.559)
As (0.871, 0.054, 0.581)
As (0.871, 0.446, 0.581)
Pd (0.175, 0.099, 0.602)
Pd (0.175, 0.401, 0.602)
Pd (0.325, 0.599, 0.102)
Pd (0.325, 0.901, 0.102)
Pd (0.675, 0.099, 0.898)
Pd (0.675, 0.401, 0.898)
Pd (0.825, 0.599, 0.398)
Pd (0.825, 0.901, 0.398)

Properties
magnetic moment	0.000	μB per atom
crystal system	orthorhombic
space-group type	Pnma
distance to the lowest polymorph of the same formula	52	meV per atom